No. 1
VASP calculation (GGA-PBE) on crystalline PrHfNbIr2 at its relaxed geometry.

Properties
Formation energy from the elements ... -0.6945 eV per atom

a = 4.5006 Å, b = 4.5006 Å, c = 6.2537 Å
α = 111.09°, β = 111.09°, γ = 90.00°
Positions (direct):
Hf 0.7500 0.2500 0.5000
Ir 0.3775 0.3775 0.7551
Nb 0.2500 0.7500 0.5000
Pr 0.0000 0.0000 0.0000
Ir 0.6225 0.6225 0.2449

---

No. 2
VASP calculation (GGA-PBE) on crystalline HfNbReIr at its relaxed geometry.

Properties
Formation energy from the elements ... -0.4758 eV per atom

a = 4.5773 Å, b = 4.5773 Å, c = 4.5773 Å
α = 60.00°, β = 60.00°, γ = 60.00°
Positions (direct):
Ir 0.2500 0.2500 0.2500
Hf 0.5000 0.5000 0.5000
Re 0.7500 0.7500 0.7500
Nb 0.0000 0.0000 0.0000

---

No. 3
VASP calculation (GGA-PBE) on crystalline HfNb2ReIr at its relaxed geometry.

Properties
Formation energy from the elements ... 2.0787 eV per atom

a = 4.8014 Å, b = 4.6366 Å, c = 4.8014 Å
α = 90.00°, β = 90.00°, γ = 90.00°
Positions (direct):
Nb 0.0000 0.0000 0.5000
Ir 0.5000 0.5000 0.5000
Nb 0.5000 0.0000 0.0000
Re 0.0000 0.5000 0.0000
Hf 0.0000 0.0000 0.0000

---

No. 4
VASP calculation (GGA-PBE) on crystalline HfNbIrRh at its relaxed geometry.

Properties
Formation energy from the elements ... -0.5516 eV per atom

a = 4.5851 Å, b = 4.5851 Å, c = 4.5851 Å
α = 60.00°, β = 60.00°, γ = 60.00°
Positions (direct):
Rh 0.2500 0.2500 0.2500
Ir 0.7500 0.7500 0.7500
Hf 0.0000 0.0000 0.0000
Nb 0.5000 0.5000 0.5000